# 1
Compound: Rb2URh2S6
Source: the Alexandria database
Functional: PBE-GGA
Structure: relaxed

POSCAR file:
```
Rb2URh2S6
1.0
6.2585 -0.0679 0.0735
-3.1523 5.4070 0.0735
-1.0734 -1.8451 7.9030
Rb U Rh S
2 1 2 6
Direct
0.8386 0.1614 0.0000
0.1614 0.8386 0.0000
0.0000 0.0000 0.5000
0.3338 0.6662 0.5000
0.6662 0.3338 0.5000
0.6916 0.6916 0.6776
0.0542 0.4147 0.6755
0.3084 0.3084 0.3224
0.4147 0.0542 0.6755
0.9458 0.5853 0.3245
0.5853 0.9458 0.3245
```

Computed properties:
V	24.3	Å³/atom
DOS(E_F)	0.45	states/eV per atom
E_form (uncorrected)	-0.978	eV/atom
symmetry	No. 12
crystal system	monoclinic

---

# 2
Compound: Rb4U3RhS8
Source: the Alexandria database
Functional: PBE-GGA
Structure: relaxed

POSCAR file:
```
Rb4U3RhS8
1.0
-5.8069 4.9621 1.3389
1.2121 -0.9729 8.8622
6.3933 2.5489 -4.1753
Rb U Rh S
4 3 1 8
Direct
0.5000 0.0000 0.0000
0.5000 0.0000 0.5000
0.0000 0.0000 0.0000
0.0000 0.0000 0.5000
0.5000 0.5000 0.0000
0.5000 0.5000 0.5000
0.0000 0.5000 0.5000
0.0000 0.5000 0.0000
0.2077 0.6760 0.9555
0.2576 0.7118 0.5152
0.2725 0.3034 0.5451
0.7478 0.6760 0.9555
0.2522 0.3240 0.0445
0.7275 0.6966 0.4549
0.7424 0.2882 0.4848
0.7923 0.3240 0.0445
```

Computed properties:
V	26.6	Å³/atom
DOS(E_F)	0.88	states/eV per atom
E_form (uncorrected)	-1.173	eV/atom
symmetry	No. 12
crystal system	monoclinic

---

# 3
Compound: RbURhS3
Source: the Alexandria database
Functional: PBE-GGA
Structure: relaxed

POSCAR file:
```
RbURhS3
1.0
-1.6163 -2.0538 -3.0169
0.8513 -7.5648 4.6939
-8.3306 3.9448 1.7777
Rb U Rh S
2 2 2 6
Direct
0.2500 0.2059 0.2490
0.7500 0.7941 0.7510
0.2500 0.6807 0.1578
0.7500 0.3193 0.8422
0.2500 0.0880 0.5938
0.7500 0.9120 0.4062
0.7500 0.8690 0.1371
0.2500 0.1310 0.8629
0.2500 0.8004 0.4544
0.7500 0.1996 0.5456
0.7500 0.4662 0.1503
0.2500 0.5338 0.8497
```

Computed properties:
V	26.3	Å³/atom
DOS(E_F)	1.09	states/eV per atom
E_form (uncorrected)	-1.129	eV/atom
symmetry	No. 11
crystal system	monoclinic

---

The records above yield spin magnetization values of 2.01, 7.00, 1.80 μB per formula unit, respectively.